VASP calculation (PBE-GGA) on a geometry-optimized SbPd10 structure.

a b c (Å): 4.7558 4.7558 32.0568
angles (deg): 90.35 90.35 48.46
Element x y z (fractional)
1 Sb 0.1547 0.1547 0.2103
2 Sb 0.8453 0.8453 0.7897
3 Pd 0.0469 0.0469 0.4028
4 Pd 0.0494 0.0494 0.6812
5 Pd 0.1473 0.1473 0.7687
6 Pd 0.1497 0.1497 0.4861
7 Pd 0.2523 0.2523 0.5692
8 Pd 0.2532 0.2532 0.2913
9 Pd 0.3475 0.3475 0.3754
10 Pd 0.3509 0.3509 0.6531
11 Pd 0.4490 0.4490 0.4587
12 Pd 0.4490 0.4490 0.7387
13 Pd 0.5510 0.5510 0.2613
14 Pd 0.5510 0.5510 0.5413
15 Pd 0.6491 0.6491 0.3469
16 Pd 0.6525 0.6525 0.6246
17 Pd 0.7468 0.7468 0.7087
18 Pd 0.7477 0.7477 0.4308
19 Pd 0.8503 0.8503 0.5139
20 Pd 0.8527 0.8527 0.2313
21 Pd 0.9506 0.9506 0.3188
22 Pd 0.9531 0.9531 0.5972

Calculated values
Crystal system ... monoclinic
VASP energy ... -5.1626 eV per atom

***

VASP calculation (PBE-GGA) on a geometry-optimized CdInGaTe2Se2 structure.

a b c (Å): 7.2281 7.2281 6.1788
angles (deg): 114.17 114.17 107.10
Element x y z (fractional)
1 Cd 0.0000 0.0000 0.0000
2 In 0.4997 0.5003 0.0000
3 Ga 0.7370 0.2630 0.5000
4 Te 0.1206 0.4212 0.5031
5 Te 0.5788 0.8794 0.4969
6 Se 0.3974 0.1213 0.0108
7 Se 0.8787 0.6026 0.9892

Calculated values
Crystal system ... monoclinic
VASP energy ... -3.3317 eV per atom

***

VASP calculation (PBE-GGA) on a geometry-optimized Rb4SiTcSe6 structure.

a b c (Å): 7.1603 7.8005 9.3417
angles (deg): 71.75 68.45 63.72
Element x y z (fractional)
1 Rb 0.0000 0.0000 0.0000
2 Rb 0.1778 0.3871 0.2576
3 Rb 0.4023 0.7562 0.4543
4 Rb 0.7617 0.6489 0.8140
5 Si 0.4580 0.2583 0.8193
6 Tc 0.7088 0.1442 0.4445
7 Se 0.2763 0.5696 0.8597
8 Se 0.3585 0.1949 0.6287
9 Se 0.4697 0.0253 0.0354
10 Se 0.6964 0.3842 0.2213
11 Se 0.8052 0.2129 0.6360
12 Se 0.8949 0.8221 0.4059

Calculated values
Crystal system ... triclinic
VASP energy ... -4.2336 eV per atom

***

VASP calculation (PBE-GGA) on a geometry-optimized CsTbPtSe3 structure.

a b c (Å): 8.6164 8.6164 10.4112
angles (deg): 90.00 90.00 152.77
Element x y z (fractional)
1 Cs 0.2494 0.7506 0.7500
2 Cs 0.7506 0.2494 0.2500
3 Tb 0.5000 0.5000 0.0000
4 Tb 0.5000 0.5000 0.5000
5 Pt 0.0155 0.9845 0.2500
6 Pt 0.9845 0.0155 0.7500
7 Se 0.1155 0.8845 0.0689
8 Se 0.1155 0.8845 0.4311
9 Se 0.4245 0.5755 0.2500
10 Se 0.5755 0.4245 0.7500
11 Se 0.8845 0.1155 0.5689
12 Se 0.8845 0.1155 0.9311

Calculated values
Crystal system ... orthorhombic
VASP energy ... -4.8031 eV per atom

***

VASP calculation (PBE-GGA) on a geometry-optimized MgCuNiAs structure.

a b c (Å): 4.2907 4.2907 4.2907
angles (deg): 60.00 60.00 60.00
Element x y z (fractional)
1 Mg 0.0000 0.0000 0.0000
2 Cu 0.2500 0.2500 0.2500
3 Ni 0.7500 0.7500 0.7500
4 As 0.5000 0.5000 0.5000

Calculated values
Crystal system ... cubic
Relative energy among the computed polymorphs ... 0 meV/atom

***

VASP calculation (PBE-GGA) on a geometry-optimized Nd2Sm2CI2Br2Cl structure.

a b c (Å): 9.6960 9.6960 8.2517
angles (deg): 101.81 101.81 23.58
Element x y z (fractional)
1 Nd 0.0010 0.0010 0.2877
2 Nd 0.9990 0.9990 0.7123
3 Sm 0.3660 0.3660 0.4286
4 Sm 0.6340 0.6340 0.5714
5 C 0.5000 0.5000 0.5000
6 I 0.1732 0.1732 0.3079
7 I 0.8268 0.8268 0.6921
8 Br 0.1587 0.1587 0.8386
9 Br 0.8413 0.8413 0.1614
10 Cl 0.5000 0.5000 0.0000

Calculated values
Crystal system ... monoclinic
Relative energy among the computed polymorphs ... 0 meV/atom

***

VASP calculation (PBE-GGA) on a geometry-optimized LiLaCoSi2 structure.

a b c (Å): 5.6581 5.6581 5.6581
angles (deg): 136.78 136.78 62.77
Element x y z (fractional)
1 Li 0.0000 0.0000 0.0000
2 La 0.2500 0.7500 0.5000
3 Co 0.5000 0.5000 0.0000
4 Si 0.6219 0.1219 0.5000
5 Si 0.8781 0.3781 0.5000

Calculated values
Crystal system ... tetragonal
VASP energy ... -5.4802 eV per atom

***

VASP calculation (PBE-GGA) on a geometry-optimized ZrGa2Pt structure.

a b c (Å): 4.6251 4.6251 4.6251
angles (deg): 60.00 60.00 60.00
Element x y z (fractional)
1 Zr 0.0000 0.0000 0.0000
2 Ga 0.2500 0.2500 0.2500
3 Ga 0.5000 0.5000 0.5000
4 Pt 0.7500 0.7500 0.7500

Calculated values
Crystal system ... cubic
VASP energy ... -5.7228 eV per atom

***

VASP calculation (PBE-GGA) on a geometry-optimized Na2OsCl6 structure.

a b c (Å): 6.7694 6.7694 6.7694
angles (deg): 120.54 120.54 89.07
Element x y z (fractional)
1 Na 0.2500 0.7500 0.5000
2 Na 0.7500 0.2500 0.5000
3 Os 0.0000 0.0000 0.0000
4 Cl 0.1676 0.6938 0.8614
5 Cl 0.2428 0.2428 0.0000
6 Cl 0.3062 0.1676 0.4738
7 Cl 0.6938 0.8324 0.5262
8 Cl 0.7572 0.7572 0.0000
9 Cl 0.8324 0.3062 0.1386

Calculated values
Crystal system ... tetragonal
Relative energy among the computed polymorphs ... 0 meV/atom

***

VASP calculation (PBE-GGA) on a geometry-optimized TaZnAg structure.

a b c (Å): 4.4050 4.4050 4.4050
angles (deg): 60.00 60.00 60.00
Element x y z (fractional)
1 Ta 0.0000 0.0000 0.0000
2 Zn 0.2500 0.2500 0.2500
3 Ag 0.7500 0.7500 0.7500

Calculated values
Crystal system ... cubic
Relative energy among the computed polymorphs ... 250 meV/atom
Energy relative to the elements ... 0.91 eV/atom

***

VASP calculation (PBE-GGA) on a geometry-optimized Zn2GeIr structure.

a b c (Å): 4.3893 4.3893 4.3893
angles (deg): 60.00 60.00 60.00
Element x y z (fractional)
1 Zn 0.0000 0.0000 0.0000
2 Zn 0.2500 0.2500 0.2500
3 Ge 0.5000 0.5000 0.5000
4 Ir 0.7500 0.7500 0.7500

Calculated values
Crystal system ... cubic
VASP energy ... -3.9564 eV per atom

***

VASP calculation (PBE-GGA) on a geometry-optimized Gd2Y3Cd3 structure.

a b c (Å): 5.5796 6.6617 6.6617
angles (deg): 65.21 90.00 90.00
Element x y z (fractional)
1 Gd 0.0000 0.0000 0.0000
2 Gd 0.5000 0.3591 0.3591
3 Y 0.0000 0.5505 0.5505
4 Y 0.5000 0.3575 0.8621
5 Y 0.5000 0.8621 0.3575
6 Cd 0.0000 0.0625 0.4833
7 Cd 0.0000 0.4833 0.0625
8 Cd 0.5000 0.8518 0.8518

Calculated values
Crystal system ... orthorhombic
Relative energy among the computed polymorphs ... 68 meV/atom
Energy relative to the elements ... -0.10 eV/atom

***

VASP calculation (PBE-GGA) on a geometry-optimized TePd structure.

a b c (Å): 4.5019 4.5019 18.3173
angles (deg): 90.00 90.00 122.48
Element x y z (fractional)
1 Te 0.0033 0.9967 0.5780
2 Te 0.0033 0.9967 0.9220
3 Te 0.2063 0.7937 0.7500
4 Te 0.7937 0.2063 0.2500
5 Te 0.9967 0.0033 0.0780
6 Te 0.9967 0.0033 0.4220
7 Pd 0.3324 0.6676 0.6143
8 Pd 0.3324 0.6676 0.8857
9 Pd 0.4662 0.5338 0.2500
10 Pd 0.5338 0.4662 0.7500
11 Pd 0.6676 0.3324 0.1143
12 Pd 0.6676 0.3324 0.3857

Calculated values
Crystal system ... orthorhombic
VASP energy ... -4.2968 eV per atom

***

VASP calculation (PBE-GGA) on a geometry-optimized Zr4NiAuN2 structure.

a b c (Å): 3.2903 3.2903 13.4928
angles (deg): 90.00 90.00 120.00
Element x y z (fractional)
1 Zr 0.0000 0.0000 0.1412
2 Zr 0.0000 0.0000 0.8588
3 Zr 0.3333 0.6667 0.3329
4 Zr 0.3333 0.6667 0.6671
5 Ni 0.3333 0.6667 0.0000
6 Au 0.0000 0.0000 0.5000
7 N 0.6667 0.3333 0.2398
8 N 0.6667 0.3333 0.7602

Calculated values
Crystal system ... hexagonal
VASP energy ... -8.4220 eV per atom

***

VASP calculation (PBE-GGA) on a geometry-optimized NiH3 structure.

a b c (Å): 4.1075 4.1075 4.1075
angles (deg): 58.72 58.72 58.72
Element x y z (fractional)
1 Ni 0.0000 0.0000 0.0000
2 Ni 0.5000 0.5000 0.5000
3 H 0.0919 0.7500 0.4081
4 H 0.2500 0.5919 0.9081
5 H 0.4081 0.0919 0.7500
6 H 0.5919 0.9081 0.2500
7 H 0.7500 0.4081 0.0919
8 H 0.9081 0.2500 0.5919

Calculated values
Crystal system ... trigonal
Relative energy among the computed polymorphs ... 0 meV/atom

***

VASP calculation (PBE-GGA) on a geometry-optimized Re12W17 structure.

a b c (Å): 8.4375 8.4375 8.4375
angles (deg): 109.47 109.47 109.47
Element x y z (fractional)
1 Re 0.0000 0.4104 0.6883
2 Re 0.0000 0.6883 0.4104
3 Re 0.2779 0.5896 0.5896
4 Re 0.3117 0.3117 0.7221
5 Re 0.3117 0.7221 0.3117
6 Re 0.4104 0.0000 0.6883
7 Re 0.4104 0.6883 0.0000
8 Re 0.5896 0.2779 0.5896
9 Re 0.5896 0.5896 0.2779
10 Re 0.6883 0.0000 0.4104
11 Re 0.6883 0.4104 0.0000
12 Re 0.7221 0.3117 0.3117
13 W 0.0000 0.0000 0.0000
14 W 0.0000 0.0000 0.6363
15 W 0.0000 0.1924 0.3803
16 W 0.0000 0.3803 0.1924
17 W 0.0000 0.6363 0.0000
18 W 0.1879 0.8076 0.8076
19 W 0.1924 0.0000 0.3803
20 W 0.1924 0.3803 0.0000
21 W 0.3637 0.3637 0.3637
22 W 0.3803 0.0000 0.1924
23 W 0.3803 0.1924 0.0000
24 W 0.6197 0.6197 0.8121
25 W 0.6197 0.8121 0.6197
26 W 0.6363 0.0000 0.0000
27 W 0.8076 0.1879 0.8076
28 W 0.8076 0.8076 0.1879
29 W 0.8121 0.6197 0.6197

Calculated values
Crystal system ... cubic
Relative energy among the computed polymorphs ... 91 meV/atom
Energy relative to the elements ... 0.15 eV/atom

***

VASP calculation (PBE-GGA) on a geometry-optimized Nd2SmFe2B2N3 structure.

a b c (Å): 10.6557 10.6557 10.6557
angles (deg): 160.70 160.70 27.43
Element x y z (fractional)
1 Nd 0.1245 0.1245 0.0000
2 Nd 0.8755 0.8755 0.0000
3 Sm 0.5000 0.5000 0.0000
4 Fe 0.2500 0.7500 0.5000
5 Fe 0.7500 0.2500 0.5000
6 B 0.3108 0.3108 0.0000
7 B 0.6892 0.6892 0.0000
8 N 0.0000 0.0000 0.0000
9 N 0.3819 0.3819 0.0000
10 N 0.6181 0.6181 0.0000

Calculated values
Crystal system ... tetragonal
VASP energy ... -7.9167 eV per atom

***

VASP calculation (PBE-GGA) on a geometry-optimized NdSm2S3 structure.

a b c (Å): 4.0225 4.0225 9.8674
angles (deg): 90.00 90.00 120.00
Element x y z (fractional)
1 Nd 0.0000 0.0000 0.0000
2 Sm 0.3333 0.6667 0.6654
3 Sm 0.6667 0.3333 0.3346
4 S 0.0000 0.0000 0.5000
5 S 0.3333 0.6667 0.1712
6 S 0.6667 0.3333 0.8288

Calculated values
Crystal system ... trigonal
VASP energy ... -6.4567 eV per atom

***

VASP calculation (PBE-GGA) on a geometry-optimized Zn3AuN structure.

a b c (Å): 4.1523 4.1523 4.1523
angles (deg): 90.00 90.00 90.00
Element x y z (fractional)
1 Zn 0.0000 0.0000 0.5000
2 Zn 0.0000 0.5000 0.0000
3 Zn 0.5000 0.0000 0.0000
4 Au 0.5000 0.5000 0.5000
5 N 0.0000 0.0000 0.0000

Calculated values
Crystal system ... cubic
VASP energy ... -2.9056 eV per atom

***

VASP calculation (PBE-GGA) on a geometry-optimized Li2Cd2O5 structure.

a b c (Å): 4.0272 4.0272 7.6501
angles (deg): 90.00 90.00 90.00
Element x y z (fractional)
1 Li 0.0000 0.0000 0.0000
2 Li 0.0000 0.0000 0.5000
3 Cd 0.5000 0.5000 0.2247
4 Cd 0.5000 0.5000 0.7753
5 O 0.0000 0.5000 0.0980
6 O 0.0000 0.5000 0.9020
7 O 0.5000 0.0000 0.0980
8 O 0.5000 0.0000 0.9020
9 O 0.5000 0.5000 0.5000

Calculated values
Crystal system ... tetragonal
Relative energy among the computed polymorphs ... 0 meV/atom